(1)
First-principles (GGA-PBEsol) data for a geometry-optimized NaTi2P3O12 structure, as listed in Alexandria via LeMat-Bulk.

Values from the calculation:
The polymorph energy (0 for the lowest one) comes out at 0 meV per atom. The crystal system is trigonal. As for the space group: R-3c (167). The calculation puts the formation energy from raw total energies at -2.58 eV/atom.

a = 8.5551 Å, b = 8.5551 Å, c = 8.7802 Å
α = 60.84°, β = 60.84°, γ = 60.00°
With the nearest neighbours (Å) after each atom.
Atoms (fractional coordinates):
Na: 0.5000 0.5000 0.5000  6 O 2.44
Na: 0.0000 0.0000 0.0000  6 O 2.44
Ti: 0.8560 0.8560 0.4320  6 O 1.91-1.97
Ti: 0.6440 0.6440 0.0680  6 O 1.91-1.97
Ti: 0.3560 0.3560 0.9320  6 O 1.91-1.97
Ti: 0.1440 0.1440 0.5680  6 O 1.91-1.97
P: 0.9627 0.5373 0.2500  4 O 1.54
P: 0.5373 0.2500 0.2500  4 O 1.54
P: 0.0373 0.4627 0.7500  4 O 1.54
P: 0.4627 0.7500 0.7500  4 O 1.54
P: 0.2500 0.9627 0.2500  4 O 1.54
P: 0.7500 0.0373 0.7500  4 O 1.54
O: 0.9230 0.0601 0.7387  1 P 1.54
O: 0.0601 0.2783 0.7387  1 P 1.54
O: 0.2783 0.9230 0.7387  1 P 1.54
O: 0.5770 0.2217 0.7613  1 P 1.54
O: 0.2217 0.4399 0.7613  1 P 1.54
O: 0.4399 0.5770 0.7613  1 P 1.54
O: 0.0770 0.9399 0.2613  1 P 1.54
O: 0.9399 0.7217 0.2613  1 P 1.54
O: 0.7217 0.0770 0.2613  1 P 1.54
O: 0.4230 0.7783 0.2387  1 P 1.54
O: 0.7783 0.5601 0.2387  1 P 1.54
O: 0.5601 0.4230 0.2387  1 P 1.54
O: 0.4976 0.7110 0.9234  1 P 1.54
O: 0.8680 0.4976 0.9234  1 P 1.54
O: 0.7110 0.8680 0.9234  1 P 1.54
O: 0.6320 0.7890 0.5766  1 P 1.54
O: 0.0024 0.6320 0.5766  1 P 1.54
O: 0.7890 0.0024 0.5766  1 P 1.54
O: 0.5024 0.2890 0.0766  1 P 1.54
O: 0.1320 0.5024 0.0766  1 P 1.54
O: 0.2890 0.1320 0.0766  1 P 1.54
O: 0.3680 0.2110 0.4234  1 P 1.54
O: 0.9976 0.3680 0.4234  1 P 1.54
O: 0.2110 0.9976 0.4234  1 P 1.54

---

(2)
First-principles (GGA-PBEsol) data for a geometry-optimized SrZn2In structure, as listed in Alexandria via LeMat-Bulk.

Values from the calculation:
The crystal system is cubic. As for the energy relative to the elements: -81 meV/atom. As for the space group: F-43m (216).

a = 5.0016 Å, b = 5.0016 Å, c = 5.0016 Å
α = 60.00°, β = 60.00°, γ = 60.00°
With the nearest neighbours (Å) after each atom.
Atoms (fractional coordinates):
In: 0.5000 0.5000 0.5000  4 Zn 3.06, 4 Sr 3.06
Sr: 0.2500 0.2500 0.2500  4 In 3.06, 4 Zn 3.06
Zn: 0.0000 0.0000 0.0000  4 Sr 3.06, 4 Zn 3.06
Zn: 0.7500 0.7500 0.7500  4 In 3.06, 4 Zn 3.06

---

(3)
First-principles (GGA-PBEsol) data for a geometry-optimized Ba2HgAu structure, as listed in Alexandria via LeMat-Bulk.

Values from the calculation:
The crystal system is trigonal. As for the energy relative to the elements: -491 meV/atom. As for the space group: R3m (160).

a = 4.8748 Å, b = 4.8748 Å, c = 8.3611 Å
α = 73.05°, β = 73.05°, γ = 60.00°
With the nearest neighbours (Å) after each atom.
Atoms (fractional coordinates):
Au: 0.2083 0.2083 0.3752  3 Hg 2.81
Hg: 0.5416 0.5416 0.3752  3 Au 2.81
Ba: 0.9595 0.9595 0.1215  3 Au 3.45, 3 Hg 3.45
Ba: 0.7906 0.7906 0.6281  3 Hg 3.45, 3 Au 3.45

---

(4)
First-principles (GGA-PBEsol) data for a geometry-optimized YSiOs4 structure, as listed in Alexandria via LeMat-Bulk.

Values from the calculation:
The crystal system is cubic. As for the space group: F-43m (216). The calculation puts the formation energy from raw total energies at 0.31 eV/atom.

a = 5.1941 Å, b = 5.1941 Å, c = 5.1941 Å
α = 60.00°, β = 60.00°, γ = 60.00°
With the nearest neighbours (Å) after each atom.
Atoms (fractional coordinates):
Os: 0.6244 0.6244 0.1268  6 Os 2.58-2.61
Os: 0.1268 0.6244 0.6244  6 Os 2.58-2.61
Os: 0.6244 0.1268 0.6244  6 Os 2.58-2.61
Os: 0.6244 0.6244 0.6244  6 Os 2.58-2.61
Si: 0.2500 0.2500 0.2500  12 Os 3.04, 4 Y 3.18
Y: 0.0000 0.0000 0.0000  12 Os 3.05, 4 Si 3.18

---

(5)
First-principles (GGA-PBEsol) data for a geometry-optimized Be2AlTc structure, as listed in Alexandria via LeMat-Bulk.

Values from the calculation:
The crystal system is trigonal. As for the energy relative to the elements: 219 meV/atom. As for the space group: R-3m (166).

a = 2.6772 Å, b = 2.6772 Å, c = 7.9850 Å
α = 80.35°, β = 80.35°, γ = 60.00°
With the nearest neighbours (Å) after each atom.
Atoms (fractional coordinates):
Be: 0.2533 0.2533 0.2401  3 Tc 2.43, 3 Al 2.56, 6 Be 2.68
Be: 0.7467 0.7467 0.7599  3 Tc 2.43, 3 Al 2.56, 6 Be 2.68
Tc: 0.0000 0.0000 0.0000  6 Be 2.43, 6 Tc 2.68
Al: 0.5000 0.5000 0.5000  6 Be 2.56, 6 Al 2.68

---

(6)
First-principles (GGA-PBEsol) data for a geometry-optimized Be2Pt structure, as listed in Alexandria via LeMat-Bulk.

Values from the calculation:
The polymorph energy (0 for the lowest one) comes out at 0 meV per atom. The crystal system is orthorhombic. As for the energy relative to the elements: -649 meV/atom. As for the space group: Fddd (70).

a = 4.2176 Å, b = 4.2176 Å, c = 4.4997 Å
α = 104.00°, β = 104.00°, γ = 118.94°
With the nearest neighbours (Å) after each atom.
Atoms (fractional coordinates):
Be: 0.9134 0.0866 0.5000  5 Be 2.32-2.48, 5 Pt 2.34-2.45
Be: 0.3366 0.6634 0.0000  5 Be 2.32-2.48, 5 Pt 2.34-2.45
Be: 0.5866 0.4134 0.5000  5 Be 2.32-2.48, 5 Pt 2.34-2.45
Be: 0.6634 0.3366 0.0000  5 Be 2.32-2.48, 5 Pt 2.34-2.45
Pt: 0.0000 0.0000 0.0000  10 Be 2.34-2.45
Pt: 0.2500 0.7500 0.5000  10 Be 2.34-2.45

---

| no. | density of states at the Fermi level (states/eV per atom) |
| --- | --- |
| 1 | 0.000 |
| 2 | 0.316 |
| 3 | 1.031 |
| 4 | 1.132 |
| 5 | 0.588 |
| 6 | 0.148 |